1.
Computed, not measured: SrEu3Fe after structural relaxation at the PBE level of DFT.

a b c (Å): 5.717 5.717 5.717
angles (deg): 90.00 90.00 90.00
Space group Pm-3m (No. 221)
One atom of each set of equivalent atoms:
Sr 0.000 0.000 0.000 [1 per cell]
Eu 0.000 0.500 0.500 [3 per cell]
Fe 0.500 0.500 0.500 [1 per cell]

Properties
The formation energy comes out at 175 meV per atom. For the total energy, the calculation gives -8.0186 eV per atom. The total magnetic moment is 20.27 μB per formula unit.

2.
Computed, not measured: HoHfW4 after structural relaxation at the PBE level of DFT.

a b c (Å): 7.718 7.718 7.718
angles (deg): 90.00 90.00 90.00
Space group F-43m (No. 216)
One atom of each set of equivalent atoms:
Ho 0.000 0.000 0.000 [4 per cell]
Hf 0.250 0.250 0.250 [4 per cell]
W 0.125 0.125 0.625 [16 per cell]

Properties
The formation energy comes out at 1 meV per atom. For the total energy, the calculation gives -11.0565 eV per atom. The total magnetic moment is 0.00 μB per formula unit.

3.
Computed, not measured: PrDy5Ho3 after structural relaxation at the PBE level of DFT.

a b c (Å): 16.867 7.971 12.200
angles (deg): 90.00 130.59 90.00
Space group C2/m (No. 12)
One atom of each set of equivalent atoms:
Pr 0.237 0.000 0.133 [4 per cell]
Dy 0.000 0.321 0.000 [4 per cell]
Dy 0.064 0.207 0.780 [8 per cell]
Dy 0.124 0.000 0.567 [4 per cell]
Dy 0.201 0.500 0.072 [4 per cell]
Ho 0.000 0.000 0.000 [2 per cell]
Ho 0.000 0.500 0.500 [2 per cell]
Ho 0.121 0.500 0.317 [4 per cell]
Ho 0.170 0.000 0.339 [4 per cell]

Properties
The distance to the lowest polymorph of the same formula is 0.084 eV/atom. The formation energy comes out at 420 meV per atom. For the total energy, the calculation gives -4.1939 eV per atom. The total magnetic moment is 0.00 μB per formula unit.

4.
Computed, not measured: Y2H2Cl after structural relaxation at the PBE level of DFT.

a b c (Å): 3.468 3.468 13.637
angles (deg): 90.00 90.00 90.00
Space group I4/mmm (No. 139)
One atom of each set of equivalent atoms:
Y 0.000 0.000 0.154 [4 per cell]
H 0.000 0.500 0.250 [4 per cell]
Cl 0.000 0.000 0.500 [2 per cell]

Properties
For the total energy, the calculation gives -5.0547 eV per atom. The total magnetic moment is 0.00 μB per formula unit.

5.
Computed, not measured: Nb2CrCuN after structural relaxation at the PBE level of DFT.

a b c (Å): 4.297 4.297 3.692
angles (deg): 90.00 90.00 90.00
Space group P4/mmm (No. 123)
One atom of each set of equivalent atoms:
Nb 0.000 0.500 0.000 [2 per cell]
Cr 0.000 0.000 0.500 [1 per cell]
Cu 0.500 0.500 0.500 [1 per cell]
N 0.000 0.000 0.000 [1 per cell]

Properties
For the total energy, the calculation gives -8.7453 eV per atom. As for the uncorrected formation energy: -29.8 kJ per mole of atoms. The total magnetic moment is 0.00 μB per formula unit.

6.
Computed, not measured: TiCdRh3 after structural relaxation at the PBE level of DFT.

a b c (Å): 4.764 4.764 4.764
angles (deg): 90.00 90.00 90.00
Space group Pm-3m (No. 221)
One atom of each set of equivalent atoms:
Ti 0.000 0.000 0.000 [1 per cell]
Cd 0.500 0.500 0.500 [1 per cell]
Rh 0.000 0.500 0.500 [3 per cell]

Properties
The distance to the lowest polymorph of the same formula is 1.073 eV/atom. The formation energy comes out at 1428 meV per atom. For the total energy, the calculation gives -4.7452 eV per atom. The total magnetic moment is 0.00 μB per formula unit.

7.
Computed, not measured: CaTbPbAu after structural relaxation at the PBE level of DFT.

a b c (Å): 7.502 7.502 7.502
angles (deg): 90.00 90.00 90.00
Space group F-43m (No. 216)
One atom of each set of equivalent atoms:
Ca 0.000 0.000 0.000 [4 per cell]
Tb 0.000 0.000 0.500 [4 per cell]
Pb 0.250 0.250 0.250 [4 per cell]
Au 0.250 0.250 0.750 [4 per cell]

Properties
The formation energy comes out at -665 meV per atom. For the total energy, the calculation gives -4.0692 eV per atom. The total magnetic moment is 0.00 μB per formula unit.

8.
Computed, not measured: CsTiO2F after structural relaxation at the PBE level of DFT.

a b c (Å): 4.548 4.548 5.055
angles (deg): 90.00 90.00 90.00
Space group P4/mmm (No. 123)
One atom of each set of equivalent atoms:
Cs 0.000 0.000 0.000 [1 per cell]
Ti 0.500 0.500 0.500 [1 per cell]
O 0.000 0.500 0.000 [2 per cell]
F 0.000 0.000 0.500 [1 per cell]

Properties
For the total energy, the calculation gives -3.9811 eV per atom. As for the uncorrected formation energy: 12.2 kJ per mole of atoms. The total magnetic moment is 1.98 μB per formula unit.

> Which value of total magnetic moment does entry 7 give?

0.00 μB per formula unit